Record 1
Computed, not measured: OsRuRh2 after structural relaxation at the PBE-GGA level of DFT.

Summary:
ΔE_f: 0.092 eV per atom
calculated total energy: -8.710 eV per atom
N(E_F): 8.514 states/eV per cell
relative energy among the computed polymorphs: 44 meV/atom

Geometry as CIF:
```
data_OsRuRh2
_cell_length_a 3.8119
_cell_length_b 3.8119
_cell_length_c 7.7706
_cell_angle_alpha 90.00
_cell_angle_beta 90.00
_cell_angle_gamma 90.00
_symmetry_space_group_name_H-M 'I 4/m m m'
_symmetry_Int_Tables_number 139
_symmetry_space_group_name_Hall '-I 4 2'
loop_
_atom_site_label
_atom_site_type_symbol
_atom_site_fract_x
_atom_site_fract_y
_atom_site_fract_z
_atom_site_occupancy
Os1 Os 0.0000 0.0000 0.0000 1
Ru1 Ru 0.0000 0.0000 0.5000 1
Rh1 Rh 0.0000 0.5000 0.2500 1
```

=====

Record 2
Computed, not measured: Sr2LaGa after structural relaxation at the PBE-GGA level of DFT.

Summary:
ΔE_f: 0.087 eV per atom
calculated total energy: -2.743 eV per atom
N(E_F): 14.116 states/eV per cell

Geometry as CIF:
```
data_Sr2LaGa
_cell_length_a 3.8514
_cell_length_b 3.8514
_cell_length_c 36.8747
_cell_angle_alpha 90.00
_cell_angle_beta 90.00
_cell_angle_gamma 120.00
_symmetry_space_group_name_H-M 'R -3 m'
_symmetry_Int_Tables_number 166
_symmetry_space_group_name_Hall '-R 3 2"'
loop_
_atom_site_label
_atom_site_type_symbol
_atom_site_fract_x
_atom_site_fract_y
_atom_site_fract_z
_atom_site_occupancy
Sr1 Sr 0.0000 0.0000 0.1024 1
La1 La 0.0000 0.0000 0.0000 1
Ga1 Ga 0.0000 0.0000 0.5000 1
```